This record from the Alexandria database describes an optimized crystal structure of PrY6Ho3Tm2. The functional is PBE.

For the size of the total moment, the calculation gives 0.0 Bohr magnetons per cell. The calculation puts the energy of formation at 0.3 eV/f.u.

The structure belongs to space group C2/m (No. 12); the cell edges are 6.1618, 10.6608 and 11.7993 Å and the angles 90.00°, 99.97° and 90.00°. The distinct sites, in fractional coordinates, are Pr at (0.0000, 0.0000, 0.0000), Y at (0.2485, 0.3329, 0.7487), Y at (0.2501, 0.0000, 0.7488), Ho at (0.0000, 0.1671, 0.5000), Ho at (0.0000, 0.5000, 0.5000) and Tm at (0.0000, 0.3334, 0.0000).

***

This record from the Alexandria database describes an optimized crystal structure of Cs4RbAu3. The functional is PBE.

The offset from the most stable computed form comes out at 0 meV per atom. For the size of the total moment, the calculation gives 0.0 Bohr magnetons per cell. The calculation puts the energy of formation at -1.8 eV/f.u.

The structure belongs to space group I4/mcm (No. 140); the cell edges are 14.1104, 14.1104 and 7.6761 Å and the angles 90.00°, 90.00° and 90.00°. The distinct sites, in fractional coordinates, are Cs at (0.0822, 0.2101, 0.0000), Rb at (0.0000, 0.5000, 0.2500), Au at (0.0000, 0.0000, 0.2500) and Au at (0.1545, 0.3455, 0.5000).

***

This record from the Alexandria database describes an optimized crystal structure of Ca2LaClO. The functional is PBE.

For the size of the total moment, the calculation gives 0.0 Bohr magnetons per cell. As for the formation energy (no corrections): -6.92 eV/f.u.

The structure belongs to space group P4/mmm (No. 123); the cell edges are 4.4421, 4.4421 and 7.2400 Å and the angles 90.00°, 90.00° and 90.00°. The distinct sites, in fractional coordinates, are Ca at (0.0000, 0.5000, 0.0000), La at (0.0000, 0.0000, 0.5000), Cl at (0.5000, 0.5000, 0.5000) and O at (0.5000, 0.5000, 0.0000).

***

no.,ρ (g cm⁻³),electronic total energy (eV/atom)
1,6.6,-5.50
2,5.2,-2.00
3,3.1,-4.53